Material: RbAs4H7
Method: DFT, PBE-GGA
State: optimized geometry

Summary:
E_tot ... -3.49 eV/atom

Cell lengths 6.8300, 6.8300, 5.9327 Å; angles 103.41, 103.41, 47.40 degrees
Fractional coordinates of all 12 atoms:
Rb 0.0000 0.0000 0.0000
As 0.2572 0.2572 0.8230
As 0.2985 0.2985 0.2580
As 0.7015 0.7015 0.7420
As 0.7428 0.7428 0.1770
H 0.0312 0.0312 0.5247
H 0.1845 0.1845 0.3134
H 0.4115 0.4115 0.9151
H 0.5000 0.5000 0.0000
H 0.5885 0.5885 0.0849
H 0.8155 0.8155 0.6866
H 0.9688 0.9688 0.4753